A plane-wave DFT calculation with PBE was carried out for crystalline Tl2Pd6Pt at its relaxed geometry.

Cell and atoms, written as extended XYZ:
```
9
Lattice="4.022 0.000 1.339 2.011 5.588 0.669 -0.026 0.001 6.787" Properties=species:S:1:pos:R:3 pbc="T T T"
Pd 4.329 0.932 7.127
Pd 3.004 4.729 4.397
Pt 0.993 2.794 3.728
Tl 2.372 2.795 6.296
Pd 3.004 0.860 4.398
Pd 1.679 4.657 1.668
Tl 3.636 2.794 2.499
Pd 1.679 0.931 1.669
Pd 4.330 4.658 7.126
```

Summary:
Crystal system ... orthorhombic
Fermi-level density of states ... 5.8 states/eV/f.u.
Calculated formation energy ... -0.106 eV per atom
Symmetry ... Fmmm